VASP calculation (PBE) on a relaxed structure of Rb2OsRh.

Values from the calculation:
mass density: 6.57 Mg/m³
formation energy from the elements: 2.05 eV/atom

a b c (Å): 7.7711 7.7711 7.7711
angles (deg): 90.00 90.00 90.00
Space group Fm-3m (No. 225)
Unique sites:
Rb 0.2500 0.2500 0.2500 [8 per cell]
Os 0.0000 0.0000 0.0000 [4 per cell]
Rh 0.0000 0.0000 0.5000 [4 per cell]